# CaPrCl6 | Alexandria | PBE | relaxed
data_CaPrCl6
_symmetry_space_group_name_H-M 'F m -3 m'
_symmetry_Int_Tables_number 225
_symmetry_space_group_name_Hall '-F 4 2 3'
_cell_length_a 10.991
_cell_length_b 10.991
_cell_length_c 10.991
_cell_angle_alpha 90.00
_cell_angle_beta 90.00
_cell_angle_gamma 90.00
loop_
_atom_site_label
_atom_site_type_symbol
_atom_site_fract_x
_atom_site_fract_y
_atom_site_fract_z
Ca1 Ca 0.000 0.000 0.000
Pr1 Pr 0.000 0.000 0.500
Cl1 Cl 0.000 0.000 0.249
# * total magnetic moment: 0.82 μB/f.u.
# * formation energy (no corrections): -1852.7 meV per atom
# * uncorrected energy: -130.7 eV for the cell shown

# CaPr2Cl8 | Alexandria | PBE | relaxed
data_CaPr2Cl8
_symmetry_space_group_name_H-M 'C 1 2/m 1'
_symmetry_Int_Tables_number 12
_cell_length_a 21.512
_cell_length_b 4.078
_cell_length_c 7.930
_cell_angle_alpha 90.00
_cell_angle_beta 98.45
_cell_angle_gamma 90.00
loop_
_symmetry_equiv_pos_as_xyz
'x,y,z'
'-x,-y,-z'
'-x,y,-z'
'x,-y,z'
'x+1/2,y+1/2,z'
'-x+1/2,-y+1/2,-z'
'-x+1/2,y+1/2,-z'
'x+1/2,-y+1/2,z'
loop_
_atom_site_label
_atom_site_type_symbol
_atom_site_fract_x
_atom_site_fract_y
_atom_site_fract_z
Ca1 Ca 0.000 0.000 0.000
Pr1 Pr 0.158 0.500 0.335
Cl1 Cl 0.020 0.500 0.232
Cl2 Cl 0.114 0.000 0.522
Cl3 Cl 0.130 0.000 0.064
Cl4 Cl 0.244 0.500 0.668
# * total magnetic moment: 0.00 μB/f.u.
# * formation energy (no corrections): -2303.7 meV per atom
# * uncorrected energy: -103.3 eV for the cell shown

# CaPrCl2 | Alexandria | PBE | relaxed
data_CaPrCl2
_symmetry_space_group_name_H-M 'R -3 m'
_symmetry_Int_Tables_number 166
_symmetry_space_group_name_Hall '-R 3 2"'
_cell_length_a 3.9295
_cell_length_b 3.9295
_cell_length_c 27.3494
_cell_angle_alpha 90.00
_cell_angle_beta 90.00
_cell_angle_gamma 120.00
loop_
_atom_site_label
_atom_site_type_symbol
_atom_site_fract_x
_atom_site_fract_y
_atom_site_fract_z
Ca1 Ca 0.0000 0.0000 0.0000
Pr1 Pr 0.0000 0.0000 0.5000
Cl1 Cl 0.0000 0.0000 0.3893
# * total magnetic moment: 0.48 μB/f.u.
# * formation energy (no corrections): -1457.9 meV per atom
# * uncorrected energy: -48.9 eV for the cell shown

# CaPrCl4 | Alexandria | PBE | relaxed
data_CaPrCl4
_symmetry_space_group_name_H-M 'P 1 21/c 1'
_symmetry_Int_Tables_number 14
_cell_length_a 7.424
_cell_length_b 6.772
_cell_length_c 6.610
_cell_angle_alpha 90.00
_cell_angle_beta 91.89
_cell_angle_gamma 90.00
loop_
_symmetry_equiv_pos_as_xyz
'x,y,z'
'-x,-y,-z'
'-x,y+1/2,-z+1/2'
'x,-y+1/2,z+1/2'
loop_
_atom_site_label
_atom_site_type_symbol
_atom_site_fract_x
_atom_site_fract_y
_atom_site_fract_z
Ca1 Ca 0.000 0.000 0.000
Pr1 Pr 0.500 0.000 0.500
Cl1 Cl 0.150 0.147 0.355
Cl2 Cl 0.322 0.644 0.358
# * total magnetic moment: 1.01 μB/f.u.
# * formation energy (no corrections): -2067.8 meV per atom
# * uncorrected energy: -53.1 eV for the cell shown

# Ca4PtCl | Alexandria | PBE | relaxed
data_Ca4PtCl
_symmetry_space_group_name_H-M 'F -4 3 m'
_symmetry_Int_Tables_number 216
_symmetry_space_group_name_Hall 'F -4 2 3'
_cell_length_a 9.218
_cell_length_b 9.218
_cell_length_c 9.218
_cell_angle_alpha 90.00
_cell_angle_beta 90.00
_cell_angle_gamma 90.00
loop_
_atom_site_label
_atom_site_type_symbol
_atom_site_fract_x
_atom_site_fract_y
_atom_site_fract_z
Ca1 Ca 0.124 0.124 0.376
Pt1 Pt 0.250 0.250 0.750
Cl1 Cl 0.000 0.000 0.000
# * total magnetic moment: 0.00 μB/f.u.
# * formation energy (no corrections): 179.5 meV per atom
# * uncorrected energy: -59.3 eV for the cell shown

# CaPtCl2 | Alexandria | PBE | relaxed
data_CaPtCl2
_symmetry_space_group_name_H-M 'C m m 2'
_symmetry_Int_Tables_number 35
_cell_length_a 4.387
_cell_length_b 6.716
_cell_length_c 7.740
_cell_angle_alpha 90.00
_cell_angle_beta 90.00
_cell_angle_gamma 90.00
loop_
_symmetry_equiv_pos_as_xyz
'x,y,z'
'-x,-y,z'
'-x,y,z'
'x,-y,z'
'x+1/2,y+1/2,z'
'-x+1/2,-y+1/2,z'
'-x+1/2,y+1/2,z'
'x+1/2,-y+1/2,z'
loop_
_atom_site_label
_atom_site_type_symbol
_atom_site_fract_x
_atom_site_fract_y
_atom_site_fract_z
Ca1 Ca 0.000 0.000 0.000
Pt1 Pt 0.000 0.500 0.272
Cl1 Cl 0.000 0.000 0.356
Cl2 Cl 0.000 0.500 0.802
# * total magnetic moment: 0.00 μB/f.u.
# * formation energy (no corrections): -954.7 meV per atom
# * uncorrected energy: -31.1 eV for the cell shown
# * energy above the lowest structure with this stoichiometry: 107.0 meV/atom

# Ca2PtCl | Alexandria | PBE | relaxed
data_Ca2PtCl
_symmetry_space_group_name_H-M 'F -4 3 m'
_symmetry_Int_Tables_number 216
_symmetry_space_group_name_Hall 'F -4 2 3'
_cell_length_a 7.184
_cell_length_b 7.184
_cell_length_c 7.184
_cell_angle_alpha 90.00
_cell_angle_beta 90.00
_cell_angle_gamma 90.00
loop_
_atom_site_label
_atom_site_type_symbol
_atom_site_fract_x
_atom_site_fract_y
_atom_site_fract_z
Ca1 Ca 0.000 0.000 0.000
Ca2 Ca 0.250 0.250 0.250
Pt1 Pt 0.250 0.250 0.750
Cl1 Cl 0.000 0.000 0.500
# * total magnetic moment: 0.00 μB/f.u.
# * formation energy (no corrections): -448.0 meV per atom
# * uncorrected energy: -54.7 eV for the cell shown
# * energy above the lowest structure with this stoichiometry: 881.0 meV/atom

# CaPtCl2 | Alexandria | PBE | relaxed
data_CaPtCl2
_symmetry_space_group_name_H-M 'P m m m'
_symmetry_Int_Tables_number 47
_cell_length_a 3.658
_cell_length_b 4.051
_cell_length_c 5.599
_cell_angle_alpha 90.00
_cell_angle_beta 90.00
_cell_angle_gamma 90.00
loop_
_symmetry_equiv_pos_as_xyz
'x,y,z'
'-x,-y,-z'
'-x,-y,z'
'x,y,-z'
'x,-y,-z'
'-x,y,z'
'-x,y,-z'
'x,-y,z'
loop_
_atom_site_label
_atom_site_type_symbol
_atom_site_fract_x
_atom_site_fract_y
_atom_site_fract_z
Ca1 Ca 0.000 0.000 0.000
Pt1 Pt 0.500 0.000 0.500
Cl1 Cl 0.000 0.500 0.500
Cl2 Cl 0.500 0.500 0.000
# * total magnetic moment: 0.00 μB/f.u.
# * formation energy (no corrections): -877.8 meV per atom
# * uncorrected energy: -15.2 eV for the cell shown
# * energy above the lowest structure with this stoichiometry: 183.9 meV/atom